Density functional theory data (PBE) for an optimized crystal structure of DyHo2Cd.

Summary:
total magnetization	0.0	μB/f.u.
final energy	-0.1401	hartree per atom
N(E_F)	4.62	states/eV/cell
space group	P4/mmm, No. 123
polymorph energy (0 for the lowest one)	0	meV/atom
ΔH_f (0 K)	-3.35	kcal/mol of atoms

```
4
Lattice="-2.2027 -2.0150 -1.9484 -0.5119 -2.1471 2.7993 -6.9812 5.0904 2.6278" Properties=species:S:1:pos:R:3 pbc="T T T"
Cd -1.3573 -2.0810 0.4255
Ho -5.3894 3.9298 2.0286
Ho -1.5918 1.1607 0.5992
Dy -4.8479 0.4642 1.7393
```